{
  "formula": "LiMnF3",
  "functional": "PBE+U",
  "state": "relaxed",
  "lattice_angstrom": [[8.462, 0.000, 0.000], [0.000, 5.365, 0.000], [0.000, 0.000, 5.263]],
  "species": ["Li", "Li", "Li", "Li", "Mn", "Mn", "Mn", "Mn", "F", "F", "F", "F", "F", "F", "F", "F", "F", "F", "F", "F"],
  "frac_coords": [[0.004, 0.132, 0.000], [0.496, 0.632, 0.500], [0.504, 0.368, 0.000], [0.996, 0.868, 0.500], [0.175, 0.643, 0.035], [0.325, 0.143, 0.535], [0.675, 0.857, 0.035], [0.825, 0.357, 0.535], [0.001, 0.443, 0.828], [0.155, 0.946, 0.761], [0.160, 0.990, 0.258], [0.340, 0.490, 0.758], [0.345, 0.446, 0.261], [0.499, 0.943, 0.328], [0.501, 0.057, 0.828], [0.655, 0.554, 0.761], [0.660, 0.510, 0.258], [0.840, 0.010, 0.758], [0.845, 0.054, 0.261], [0.999, 0.557, 0.328]],
  "spacegroup": "Pna2_1, No. 33",
  "crystal_system": "orthorhombic",
  "de_polymorph_mev_per_atom": 53
}